Record 1
## LiVPO4 (meta-GGA SCAN)

Data for a PBEsol-optimized structure of LiVPO4.

The value obtained for the uncorrected formation energy is -2.438 eV per atom. As for the energy: -10.3243 eV per atom. The total moment is 3.0 μB/f.u.

The structure belongs to space group P2_1/c (No. 14); the cell edges are 4.911, 9.541 and 8.476 Å and the angles 90.00°, 123.76° and 90.00°. The distinct sites, in fractional coordinates, are Li at (0.199, 0.178, 0.486), V at (0.260, 0.600, 0.516), P at (0.480, 0.103, 0.271), O at (0.159, 0.140, 0.254), O at (0.239, 0.694, 0.079), O at (0.405, 0.124, 0.063) and O at (0.442, 0.055, 0.696).

***

Record 2
## LiVPO5 (meta-GGA SCAN)

Data for a PBEsol-optimized structure of LiVPO5.

The value obtained for the uncorrected formation energy is -2.546 eV per atom. As for the energy: -10.2254 eV per atom. The total moment is 1.0 μB/f.u.

The structure belongs to space group P2_12_12_1 (No. 19); the cell edges are 5.961, 7.216 and 9.852 Å and the angles 90.00°, 90.00° and 90.00°. The distinct sites, in fractional coordinates, are Li at (0.058, 0.032, 0.429), V at (0.082, 0.546, 0.550), P at (0.213, 0.353, 0.828), O at (0.013, 0.221, 0.814), O at (0.084, 0.741, 0.403), O at (0.132, 0.915, 0.977), O at (0.165, 0.513, 0.931) and O at (0.220, 0.573, 0.187).

***

Record 3
## LiVPO4 (meta-GGA SCAN)

Data for a PBEsol-optimized structure of LiVPO4.

The value obtained for the uncorrected formation energy is -2.554 eV per atom. As for the energy: -10.4401 eV per atom. The total moment is 3.0 μB/f.u.

The structure belongs to space group Cmcm (No. 63); the cell edges are 5.441, 8.314 and 6.164 Å and the angles 90.00°, 90.00° and 90.00°. The distinct sites, in fractional coordinates, are Li at (0.000, 0.168, 0.250), V at (0.000, 0.500, 0.000), P at (0.000, 0.148, 0.750), O at (0.000, 0.250, 0.544) and O at (0.229, 0.031, 0.750).

***

Record 4
## LiVPO5 (meta-GGA SCAN)

Data for a PBEsol-optimized structure of LiVPO5.

The value obtained for the uncorrected formation energy is -2.539 eV per atom. As for the energy: -10.2177 eV per atom. The total moment is 1.0 μB/f.u.

The structure belongs to space group Pnma (No. 62); the cell edges are 7.594, 5.840 and 7.721 Å and the angles 90.00°, 90.00° and 90.00°. The distinct sites, in fractional coordinates, are Li at (0.131, 0.250, 0.157), V at (0.000, 0.000, 0.500), P at (0.146, 0.750, 0.170), O at (0.012, 0.750, 0.031), O at (0.112, 0.750, 0.593), O at (0.140, 0.534, 0.288) and O at (0.160, 0.250, 0.588).

***

Record 5
## LiVPO5 (meta-GGA SCAN)

Data for a PBEsol-optimized structure of LiVPO5.

The value obtained for the uncorrected formation energy is -2.541 eV per atom. As for the energy: -10.2199 eV per atom. The total moment is 1.0 μB/f.u.

The structure belongs to space group Pc (No. 7); the cell edges are 6.059, 5.237 and 8.618 Å and the angles 90.00°, 134.40° and 90.00°. The distinct sites, in fractional coordinates, are Li at (0.000, 0.055, 0.000), V at (0.615, 0.243, 0.137), P at (0.116, 0.485, 0.640), O at (0.258, 0.314, 0.834), O at (0.346, 0.327, 0.179), O at (0.641, 0.063, 0.661), O at (0.863, 0.334, 0.080) and O at (0.974, 0.306, 0.447).

***

Record 6
## LiVP2O7 (meta-GGA SCAN)

Data for a PBEsol-optimized structure of LiVP2O7.

The value obtained for the uncorrected formation energy is -2.511 eV per atom. As for the energy: -10.1737 eV per atom. The total moment is 2.0 μB/f.u.

The structure belongs to space group P-1 (No. 2); the cell edges are 6.238, 6.370 and 7.845 Å and the angles 97.55°, 104.71° and 114.56°. The distinct sites, in fractional coordinates, are Li at (0.000, 0.000, 0.000), Li at (0.000, 0.000, 0.500), V at (0.412, 0.687, 0.231), P at (0.163, 0.435, 0.781), P at (0.458, 0.228, 0.319), O at (0.112, 0.636, 0.280), O at (0.212, 0.216, 0.756), O at (0.257, 0.571, 0.634), O at (0.291, 0.313, 0.199), O at (0.307, 0.606, 0.971), O at (0.409, 0.213, 0.500) and O at (0.437, 0.000, 0.213).

***

Record 7
## Li2VP2O8 (meta-GGA SCAN)

Data for a PBEsol-optimized structure of Li2VP2O8.

The value obtained for the uncorrected formation energy is -2.535 eV per atom. As for the energy: -9.6826 eV per atom. The total moment is 1.0 μB/f.u.

The structure belongs to space group P-3 (No. 147); the cell edges are 8.3142, 8.3142 and 7.2163 Å and the angles 90.00°, 90.00° and 120.00°. The distinct sites, in fractional coordinates, are Li at (0.0424, 0.3478, 0.1327), V at (0.0000, 0.0000, 0.5000), V at (0.3333, 0.6667, 0.4148), P at (0.0406, 0.3497, 0.7190), O at (0.0642, 0.8586, 0.3414), O at (0.1168, 0.6026, 0.2487), O at (0.1515, 0.3731, 0.8932) and O at (0.1676, 0.4675, 0.5596).

***

Record 8
## Li2V2P3O12 (meta-GGA SCAN)

Data for a PBEsol-optimized structure of Li2V2P3O12.

The value obtained for the uncorrected formation energy is -2.583 eV per atom. As for the energy: -10.2528 eV per atom. The total moment is 3.0 μB/f.u.

The structure belongs to space group C2/c (No. 15); the cell edges are 14.672, 8.641 and 8.535 Å and the angles 90.00°, 125.58° and 90.00°. The distinct sites, in fractional coordinates, are Li at (0.234, 0.064, 0.433), V at (0.115, 0.253, 0.079), P at (0.000, 0.030, 0.250), P at (0.144, 0.398, 0.754), O at (0.029, 0.338, 0.592), O at (0.077, 0.133, 0.226), O at (0.084, 0.070, 0.926), O at (0.156, 0.424, 0.258), O at (0.173, 0.365, 0.957) and O at (0.231, 0.326, 0.729).

***

Q: What is the formula in the sixth record?
A: LiVP2O7

***

Q: Look up the total moment of the second one.
A: 1.0 μB/f.u.

***

Q: Which value of total moment does entry 7 give?
A: 1.0 μB/f.u.